## Tm2Ni12P7 (PBE-GGA)

Data for an optimized crystal structure of Tm2Ni12P7.

Lattice parameters (Å, degrees): 9.026 9.026 3.670 90.00 90.00 120.00
Atoms (fractional coordinates):
Tm  0.667  0.333  0.500
Tm  0.333  0.667  0.000
Ni  0.435  0.062  0.000
Ni  0.627  0.565  0.000
Ni  0.938  0.373  0.000
Ni  0.153  0.275  0.000
Ni  0.122  0.847  0.000
Ni  0.725  0.878  0.000
Ni  0.382  0.432  0.500
Ni  0.050  0.618  0.500
Ni  0.568  0.950  0.500
Ni  0.216  0.094  0.500
Ni  0.878  0.784  0.500
Ni  0.906  0.122  0.500
P  0.000  0.000  0.000
P  0.408  0.294  0.000
P  0.886  0.592  0.000
P  0.706  0.114  0.000
P  0.112  0.406  0.500
P  0.294  0.888  0.500
P  0.594  0.706  0.500

**Total moment**: 0.00 Bohr magnetons per cell
**Polymorph energy (0 for the lowest one)**: 0 meV per atom
**Space-group type**: P-6 (174)
**DOS at the Fermi energy**: 0.616 states/eV/atom
**ΔE_f**: -0.770 eV per atom


## Tm3Ni4P4 (PBE-GGA)

Data for an optimized crystal structure of Tm3Ni4P4.

Lattice parameters (Å, degrees): 3.901 6.463 7.454 115.69 105.17 90.00
Atoms (fractional coordinates):
Tm  0.128  0.128  0.256
Tm  0.872  0.872  0.744
Tm  0.000  0.500  0.000
Ni  0.328  0.133  0.656
Ni  0.672  0.477  0.344
Ni  0.672  0.867  0.344
Ni  0.328  0.523  0.656
P  0.217  0.717  0.434
P  0.783  0.283  0.566
P  0.500  0.802  0.000
P  0.500  0.198  0.000

**Total moment**: 0.00 Bohr magnetons per cell
**Space-group type**: Immm (71)
**DOS at the Fermi energy**: 0.296 states/eV/atom
**ΔE_f**: -1.074 eV per atom


## TmNi6P4 (PBE-GGA)

Data for an optimized crystal structure of TmNi6P4.

Lattice parameters (Å, degrees): 3.596 6.603 6.603 120.00 90.00 90.00
Atoms (fractional coordinates):
Tm  0.000  0.000  0.000
Ni  0.000  0.536  0.073
Ni  0.500  0.597  0.798
Ni  0.000  0.536  0.464
Ni  0.000  0.927  0.464
Ni  0.500  0.202  0.798
Ni  0.500  0.202  0.403
P  0.500  0.812  0.623
P  0.500  0.377  0.188
P  0.500  0.812  0.188
P  0.000  0.333  0.667

**Total moment**: 0.00 Bohr magnetons per cell
**Space-group type**: P-6m2 (187)
**DOS at the Fermi energy**: 0.482 states/eV/atom
**ΔE_f**: -0.692 eV per atom


## Tm2Ni5P4 (PBE-GGA)

Data for an optimized crystal structure of Tm2Ni5P4.

Lattice parameters (Å, degrees): 5.230 5.258 7.024 79.33 68.14 60.18
Atoms (fractional coordinates):
Tm  0.857  0.000  0.285
Tm  0.143  0.000  0.715
Ni  0.500  0.000  0.000
Ni  0.000  0.500  0.000
Ni  0.500  0.500  0.000
Ni  0.250  0.500  0.500
Ni  0.750  0.500  0.500
P  0.481  0.301  0.737
P  0.519  0.699  0.263
P  0.218  0.301  0.263
P  0.782  0.699  0.737

**Total moment**: 0.00 Bohr magnetons per cell
**Space-group type**: Fmmm (69)
**DOS at the Fermi energy**: 0.396 states/eV/atom
**ΔE_f**: -0.784 eV per atom


## Tm2NiP (PBE-GGA)

Data for an optimized crystal structure of Tm2NiP.

Lattice parameters (Å, degrees): 3.668 3.668 8.578 77.66 77.66 60.00
Atoms (fractional coordinates):
Ni  0.000  0.000  0.000
Tm  0.101  0.101  0.697
Tm  0.899  0.899  0.303
P  0.500  0.500  0.500

**Total moment**: 0.00 Bohr magnetons per cell
**Space-group type**: R-3m (166)
**DOS at the Fermi energy**: 0.843 states/eV/atom
**ΔE_f**: -0.206 eV per atom


## Tm3Ni7P4 (PBE-GGA)

Data for an optimized crystal structure of Tm3Ni7P4.

Lattice parameters (Å, degrees): 3.768 7.447 7.631 71.39 75.71 75.35
Atoms (fractional coordinates):
Tm  0.321  0.182  0.175
Tm  0.679  0.818  0.825
Tm  0.000  0.500  0.500
Ni  0.309  0.856  0.526
Ni  0.492  0.233  0.783
Ni  0.837  0.408  0.919
Ni  0.691  0.144  0.474
Ni  0.163  0.592  0.081
Ni  0.000  0.000  0.000
Ni  0.508  0.767  0.217
P  0.662  0.446  0.231
P  0.338  0.554  0.769
P  0.891  0.894  0.325
P  0.109  0.106  0.675

**Total moment**: 0.00 Bohr magnetons per cell
**Space-group type**: C2/m (12)
**DOS at the Fermi energy**: 0.741 states/eV/atom
**ΔE_f**: -0.923 eV per atom


## TmNi3P2 (PBE-GGA)

Data for an optimized crystal structure of TmNi3P2.

Lattice parameters (Å, degrees): 3.735 7.299 6.779 114.24 90.00 104.82
Atoms (fractional coordinates):
Tm  0.846  0.692  0.931
Tm  0.154  0.308  0.069
Ni  0.317  0.634  0.568
Ni  0.957  0.914  0.634
Ni  0.600  0.200  0.691
Ni  0.400  0.800  0.309
Ni  0.043  0.086  0.366
Ni  0.683  0.366  0.432
P  0.482  0.963  0.823
P  0.518  0.037  0.177
P  0.810  0.620  0.318
P  0.190  0.380  0.682

**Total moment**: 0.00 Bohr magnetons per cell
**Polymorph energy (0 for the lowest one)**: 54 meV per atom
**Space-group type**: C2/m (12)
**DOS at the Fermi energy**: 0.729 states/eV/atom
**ΔE_f**: -0.877 eV per atom


## TmNiP (PBE-GGA)

Data for an optimized crystal structure of TmNiP.

Lattice parameters (Å, degrees): 3.857 3.857 7.646 90.00 90.00 120.00
Atoms (fractional coordinates):
Ni  0.667  0.333  0.250
Ni  0.333  0.667  0.750
Tm  0.000  0.000  0.500
Tm  0.000  0.000  0.000
P  0.333  0.667  0.250
P  0.667  0.333  0.750

**Total moment**: 0.00 Bohr magnetons per cell
**Space-group type**: P6_3/mmc (194)
**DOS at the Fermi energy**: 0.485 states/eV/atom
**ΔE_f**: -1.217 eV per atom


## TmNiP (PBE-GGA)

Data for an optimized crystal structure of TmNiP.

Lattice parameters (Å, degrees): 3.875 3.875 15.146 90.00 90.00 120.00
Atoms (fractional coordinates):
Tm  0.000  0.000  0.500
Tm  0.000  0.000  0.000
Tm  0.000  0.000  0.250
Tm  0.000  0.000  0.750
Ni  0.333  0.667  0.371
Ni  0.667  0.333  0.629
Ni  0.667  0.333  0.871
Ni  0.333  0.667  0.129
P  0.333  0.667  0.878
P  0.667  0.333  0.122
P  0.667  0.333  0.378
P  0.333  0.667  0.622

**Total moment**: 0.00 Bohr magnetons per cell
**Space-group type**: P6_3/mmc (194)
**DOS at the Fermi energy**: 0.473 states/eV/atom
**ΔE_f**: -1.221 eV per atom


## Tm2Ni12P7 (PBE-GGA)

Data for an optimized crystal structure of Tm2Ni12P7.

Lattice parameters (Å, degrees): 3.671 9.053 9.053 120.00 90.00 90.00
Atoms (fractional coordinates):
Tm  0.251  0.333  0.667
Tm  0.749  0.667  0.333
Ni  0.250  0.622  0.058
Ni  0.250  0.436  0.378
Ni  0.250  0.942  0.564
Ni  0.750  0.378  0.942
Ni  0.750  0.564  0.622
Ni  0.750  0.058  0.436
Ni  0.245  0.114  0.257
Ni  0.245  0.142  0.886
Ni  0.245  0.743  0.858
Ni  0.755  0.886  0.743
Ni  0.755  0.858  0.114
Ni  0.755  0.257  0.142
P  0.500  0.000  0.000
P  0.249  0.886  0.294
P  0.249  0.408  0.114
P  0.249  0.706  0.592
P  0.751  0.114  0.706
P  0.751  0.592  0.886
P  0.751  0.294  0.408

**Total moment**: 0.00 Bohr magnetons per cell
**Polymorph energy (0 for the lowest one)**: 5 meV per atom
**Space-group type**: P-3 (147)
**DOS at the Fermi energy**: 0.583 states/eV/atom
**ΔE_f**: -0.764 eV per atom


## Tm2Ni5P2 (PBE-GGA)

Data for an optimized crystal structure of Tm2Ni5P2.

Lattice parameters (Å, degrees): 3.884 3.884 8.344 90.00 90.00 90.00
Atoms (fractional coordinates):
Tm  0.000  0.000  0.000
Tm  0.000  0.000  0.500
Ni  0.500  0.000  0.268
Ni  0.500  0.000  0.732
Ni  0.500  0.500  0.500
Ni  0.000  0.500  0.268
Ni  0.000  0.500  0.732
P  0.500  0.500  0.142
P  0.500  0.500  0.858

**Total moment**: 0.00 Bohr magnetons per cell
**Space-group type**: P4/mmm (123)
**DOS at the Fermi energy**: 0.235 states/eV/atom
**ΔE_f**: -0.738 eV per atom


## TmNi3P2 (PBE-GGA)

Data for an optimized crystal structure of TmNi3P2.

Lattice parameters (Å, degrees): 3.692 7.694 9.094 106.46 90.00 103.88
Atoms (fractional coordinates):
Tm  0.154  0.307  0.700
Tm  0.846  0.693  0.300
Tm  0.000  0.000  0.000
Ni  0.045  0.091  0.338
Ni  0.955  0.909  0.662
Ni  0.219  0.439  0.392
Ni  0.781  0.561  0.608
Ni  0.628  0.255  0.207
Ni  0.372  0.745  0.793
Ni  0.500  0.000  0.500
Ni  0.323  0.647  0.032
Ni  0.677  0.353  0.968
P  0.200  0.401  0.132
P  0.800  0.599  0.868
P  0.466  0.932  0.216
P  0.534  0.068  0.784
P  0.361  0.723  0.546
P  0.639  0.277  0.454

**Total moment**: 0.00 Bohr magnetons per cell
**Polymorph energy (0 for the lowest one)**: 0 meV per atom
**Space-group type**: C2/m (12)
**DOS at the Fermi energy**: 0.533 states/eV/atom
**ΔE_f**: -0.931 eV per atom


> Number 8 is which compound?

TmNiP


> What is the formula in the eighth record?

TmNiP


> The lowest ΔE_f belongs to which entry?

number 9